DFT (PBE-GGA) results for a relaxed Pm5Dy5In2 crystal.

CIF file:
```
data_Pm5Dy5In2
_chemical_formula_sum 'Pm10 Dy10 In4'
_cell_length_a 11.402
_cell_length_b 5.327
_cell_length_c 12.614
_cell_angle_alpha 90.00
_cell_angle_beta 92.29
_cell_angle_gamma 90.00
_symmetry_space_group_name_H-M 'C 1 2/m 1'
_symmetry_Int_Tables_number 12
loop_
_symmetry_equiv_pos_as_xyz
'x,y,z'
'-x,-y,-z'
'-x,y,-z'
'x,-y,z'
'x+1/2,y+1/2,z'
'-x+1/2,-y+1/2,-z'
'-x+1/2,y+1/2,-z'
'x+1/2,-y+1/2,z'
loop_
_atom_site_label
_atom_site_fract_x
_atom_site_fract_y
_atom_site_fract_z
_atom_site_occupancy
Pm1 0.000 0.000 0.000 1
Pm2 0.077 0.500 0.809 1
Pm3 0.158 0.500 0.504 1
Dy1 0.000 0.000 0.500 1
Dy2 0.132 0.000 0.264 1
Dy3 0.203 0.500 0.077 1
In1 0.175 0.000 0.696 1
```

Calculated formation energy: -5.4 kJ per mole of atoms
E above lowest polymorph: 0.077 eV/atom
Spin magnetization: 0.00 μB per formula unit
Total energy: -52.92 eV/f.u.



DFT (PBE-GGA) results for a relaxed CsPd2N2 crystal.

CIF file:
```
data_CsPd2N2
_chemical_formula_sum 'Cs1 Pd2 N2'
_cell_length_a 4.059
_cell_length_b 4.063
_cell_length_c 6.380
_cell_angle_alpha 101.94
_cell_angle_beta 101.65
_cell_angle_gamma 93.74
_symmetry_space_group_name_H-M 'P -1'
_symmetry_Int_Tables_number 2
loop_
_symmetry_equiv_pos_as_xyz
'x,y,z'
'-x,-y,-z'
loop_
_atom_site_label
_atom_site_fract_x
_atom_site_fract_y
_atom_site_fract_z
_atom_site_occupancy
Cs1 0.000 0.000 0.000 1
Pd1 0.278 0.721 0.500 1
N1 0.258 0.259 0.602 1
```

Spin magnetization: 0.00 μB per formula unit
Formation energy without anion corrections: 590 meV per atom
Total energy: -24.94 eV/f.u.



DFT (PBE-GGA) results for a relaxed Ac8PRh3Au3 crystal.

CIF file:
```
data_Ac8PRh3Au3
_chemical_formula_sum 'Ac24 P3 Rh9 Au9'
_cell_length_a 8.8168
_cell_length_b 8.8168
_cell_length_c 22.0066
_cell_angle_alpha 90.00
_cell_angle_beta 90.00
_cell_angle_gamma 120.00
_symmetry_space_group_name_H-M 'R -3 m'
_symmetry_Int_Tables_number 166
_symmetry_space_group_name_Hall '-R 3 2"'
loop_
_atom_site_label
_atom_site_fract_x
_atom_site_fract_y
_atom_site_fract_z
_atom_site_occupancy
Ac1 0.0000 0.0000 0.2427 1
Ac2 0.0062 0.5031 0.7577 1
P1 0.0000 0.0000 0.5000 1
Rh1 0.0000 0.5000 0.5000 1
Au1 0.0000 0.5000 0.0000 1
```

Calculated formation energy: -75.1 kJ per mole of atoms
Spin magnetization: 0.00 μB per formula unit
Total energy: -81.84 eV/f.u.



DFT (PBE-GGA) results for a relaxed Pu3Al2Au9 crystal.

CIF file:
```
data_Pu3Al2Au9
_chemical_formula_sum 'Pu6 Al4 Au18'
_cell_length_a 4.355
_cell_length_b 10.469
_cell_length_c 12.904
_cell_angle_alpha 90.00
_cell_angle_beta 90.00
_cell_angle_gamma 90.00
_symmetry_space_group_name_H-M 'I m m m'
_symmetry_Int_Tables_number 71
_symmetry_space_group_name_Hall '-I 2 2'
loop_
_atom_site_label
_atom_site_fract_x
_atom_site_fract_y
_atom_site_fract_z
_atom_site_occupancy
Pu1 0.000 0.000 0.000 1
Pu2 0.000 0.000 0.294 1
Al1 0.000 0.190 0.500 1
Au1 0.000 0.293 0.133 1
Au2 0.000 0.370 0.352 1
Au3 0.000 0.500 0.000 1
```

Calculated formation energy: -37.4 kJ per mole of atoms
Spin magnetization: 17.13 μB per formula unit
Total energy: -85.40 eV/f.u.



DFT (PBE-GGA) results for a relaxed Pm4GaSn2 crystal.

CIF file:
```
data_Pm4GaSn2
_chemical_formula_sum 'Pm8 Ga2 Sn4'
_cell_length_a 5.335
_cell_length_b 5.335
_cell_length_c 16.599
_cell_angle_alpha 90.00
_cell_angle_beta 90.00
_cell_angle_gamma 90.00
_symmetry_space_group_name_H-M 'I 4/m m m'
_symmetry_Int_Tables_number 139
_symmetry_space_group_name_Hall '-I 4 2'
loop_
_atom_site_label
_atom_site_fract_x
_atom_site_fract_y
_atom_site_fract_z
_atom_site_occupancy
Pm1 0.000 0.000 0.178 1
Pm2 0.000 0.500 0.000 1
Ga1 0.000 0.000 0.000 1
Sn1 0.000 0.000 0.369 1
```

Calculated formation energy: -31.5 kJ per mole of atoms
Spin magnetization: 0.00 μB per formula unit
Total energy: -32.32 eV/f.u.



DFT (PBE-GGA) results for a relaxed TiGa2Ni9 crystal.

CIF file:
```
data_TiGa2Ni9
_chemical_formula_sum 'Ti1 Ga2 Ni9'
_cell_length_a 3.596
_cell_length_b 3.596
_cell_length_c 10.731
_cell_angle_alpha 90.00
_cell_angle_beta 90.00
_cell_angle_gamma 90.00
_symmetry_space_group_name_H-M 'P 4/m m m'
_symmetry_Int_Tables_number 123
_symmetry_space_group_name_Hall '-P 4 2'
loop_
_atom_site_label
_atom_site_fract_x
_atom_site_fract_y
_atom_site_fract_z
_atom_site_occupancy
Ti1 0.000 0.000 0.000 1
Ga1 0.000 0.000 0.335 1
Ni1 0.000 0.500 0.167 1
Ni2 0.000 0.500 0.500 1
Ni3 0.500 0.500 0.000 1
Ni4 0.500 0.500 0.334 1
```

Calculated formation energy: -35.2 kJ per mole of atoms
Spin magnetization: 1.32 μB per formula unit
Total energy: -70.35 eV/f.u.



DFT (PBE-GGA) results for a relaxed CePrTeAs crystal.

CIF file:
```
data_CePrTeAs
_chemical_formula_sum 'Ce3 Pr3 Te3 As3'
_cell_length_a 4.3501
_cell_length_b 4.3501
_cell_length_c 21.9893
_cell_angle_alpha 90.00
_cell_angle_beta 90.00
_cell_angle_gamma 120.00
_symmetry_space_group_name_H-M 'R 3 m'
_symmetry_Int_Tables_number 160
_symmetry_space_group_name_Hall 'R 3 -2"'
loop_
_atom_site_label
_atom_site_fract_x
_atom_site_fract_y
_atom_site_fract_z
_atom_site_occupancy
Ce1 0.0000 0.0000 0.0000 1
Pr1 0.0000 0.0000 0.5177 1
Te1 0.0000 0.0000 0.7574 1
As1 0.0000 0.0000 0.2602 1
```

Spin magnetization: 1.02 μB per formula unit
Formation energy without anion corrections: -1485 meV per atom
Total energy: -24.44 eV/f.u.



DFT (PBE-GGA) results for a relaxed Sr3GaSi crystal.

CIF file:
```
data_Sr3GaSi
_chemical_formula_sum 'Sr12 Ga4 Si4'
_cell_length_a 17.728
_cell_length_b 4.052
_cell_length_c 9.525
_cell_angle_alpha 90.00
_cell_angle_beta 95.31
_cell_angle_gamma 90.00
_symmetry_space_group_name_H-M 'C 1 2/m 1'
_symmetry_Int_Tables_number 12
loop_
_symmetry_equiv_pos_as_xyz
'x,y,z'
'-x,-y,-z'
'-x,y,-z'
'x,-y,z'
'x+1/2,y+1/2,z'
'-x+1/2,-y+1/2,-z'
'-x+1/2,y+1/2,-z'
'x+1/2,-y+1/2,z'
loop_
_atom_site_label
_atom_site_fract_x
_atom_site_fract_y
_atom_site_fract_z
_atom_site_occupancy
Sr1 0.049 0.000 0.168 1
Sr2 0.101 0.500 0.582 1
Sr3 0.246 0.000 0.825 1
Ga1 0.213 0.000 0.436 1
Si1 0.110 0.500 0.921 1
```

E above lowest polymorph: 0.000 eV/atom
Spin magnetization: 0.34 μB per formula unit
Formation energy without anion corrections: -244 meV per atom
Total energy: -14.72 eV/f.u.



The lowest total energy belongs to which entry? Pu3Al2Au9